No. 1
Here is crystalline ZnGa8Ni6 at its relaxed geometry from Alexandria via LeMat-Bulk. Energies are from PBE.

Calculated values
Calculated volume, Å³ per atom: 14.115
Calculated density, g/cm³: 7.6
DFT formation energy, eV per atom: -0.388
Density of states at the Fermi level, states/eV/cell: 15.27

Cell lengths 7.0620, 7.0620, 14.7060 Å; angles 90.00, 90.00, 120.00 degrees
Space group R-3 (No. 148, hexagonal axes)
Unique sites:
Zn  0.0000  0.0000  0.0000 x3
Ga  0.0000  0.0000  0.3328 x6
Ga  0.0027  0.6754  0.1191 x18
Ni  0.9996  0.3365  0.0479 x18

No. 2
Here is crystalline Be2CdMo at its relaxed geometry from Alexandria via LeMat-Bulk. Energies are from PBE.

Calculated values
Calculated volume, Å³ per atom: 13.259
Calculated density, g/cm³: 7.1
DFT formation energy, eV per atom: 0.299
Density of states at the Fermi level, states/eV/cell: 2.87

Cell lengths 9.257, 2.681, 4.489 Å; angles 90.00, 107.79, 90.00 degrees
Space group Cm (No. 8)
Unique sites:
Be  0.000  0.000  0.000 x2
Be  0.201  0.500  0.317 x2
Cd  0.456  0.000  0.481 x2
Mo  0.242  0.000  0.858 x2